A plane-wave DFT calculation with PBE was carried out for a geometry-optimized Ce6As2Os structure.

Geometry as CIF:
```
data_Ce6As2Os
_chemical_formula_sum 'Ce6 As2 Os1'
_space_group_name_H-M_alt 'P 1'
_space_group_IT_number 1
_space_group_name_Hall 'P 1'
_cell_length_a 3.862
_cell_length_b 8.116
_cell_length_c 8.116
_cell_angle_alpha 120.00
_cell_angle_beta 90.00
_cell_angle_gamma 90.00
loop_
_atom_site_label
_atom_site_fract_x
_atom_site_fract_y
_atom_site_fract_z
Ce1 0.500 0.579 0.000
Ce2 0.500 0.421 0.421
Ce3 0.500 0.000 0.579
Ce4 0.000 0.256 0.000
Ce5 0.000 0.744 0.744
Ce6 0.000 0.000 0.256
As1 0.000 0.333 0.667
As2 0.000 0.667 0.333
Os1 0.500 0.000 0.000
```

Properties
DFT total energy ... -6.9257 eV per atom
Total magnetization ... 2.76 μB per formula unit
Energy of formation from the pure elements ... -0.69 eV/atom

---

A plane-wave DFT calculation with PBE was carried out for a geometry-optimized Ce2Co3As4 structure.

Geometry as CIF:
```
data_Ce2Co3As4
_chemical_formula_sum 'Ce2 Co3 As4'
_space_group_name_H-M_alt 'P 1'
_space_group_IT_number 1
_space_group_name_Hall 'P 1'
_cell_length_a 5.520
_cell_length_b 5.520
_cell_length_c 6.692
_cell_angle_alpha 101.60
_cell_angle_beta 101.60
_cell_angle_gamma 120.82
loop_
_atom_site_label
_atom_site_fract_x
_atom_site_fract_y
_atom_site_fract_z
Ce1 0.640 0.640 0.279
Ce2 0.360 0.360 0.721
Co1 0.500 0.000 0.000
Co2 0.000 0.000 0.000
Co3 0.000 0.500 0.000
As1 0.016 0.695 0.712
As2 0.695 0.016 0.712
As3 0.984 0.305 0.288
As4 0.305 0.984 0.288
```

Properties
DFT total energy ... -6.3911 eV per atom
Total magnetization ... 3.73 μB per formula unit
Energy of formation from the pure elements ... -0.64 eV/atom

---

A plane-wave DFT calculation with PBE was carried out for a geometry-optimized Cd2PtAu structure.

Geometry as CIF:
```
data_Cd2PtAu
_chemical_formula_sum 'Cd2 Pt1 Au1'
_space_group_name_H-M_alt 'P 1'
_space_group_IT_number 1
_space_group_name_Hall 'P 1'
_cell_length_a 4.121
_cell_length_b 3.002
_cell_length_c 6.611
_cell_angle_alpha 63.68
_cell_angle_beta 90.00
_cell_angle_gamma 90.00
loop_
_atom_site_label
_atom_site_fract_x
_atom_site_fract_y
_atom_site_fract_z
Au1 0.500 0.750 0.750
Pt1 0.500 0.250 0.250
Cd1 0.000 0.994 0.007
Cd2 0.000 0.506 0.493
```

Properties
DFT total energy ... -3.0154 eV per atom
Total magnetization ... 0.00 μB per formula unit
Energy of formation from the pure elements ... -0.23 eV/atom

---

A plane-wave DFT calculation with PBE was carried out for a geometry-optimized FeCuAu2S structure.

Geometry as CIF:
```
data_FeCuAu2S
_chemical_formula_sum 'Fe1 Cu1 Au2 S1'
_space_group_name_H-M_alt 'P 1'
_space_group_IT_number 1
_space_group_name_Hall 'P 1'
_cell_length_a 4.813
_cell_length_b 4.491
_cell_length_c 4.813
_cell_angle_alpha 90.00
_cell_angle_beta 90.00
_cell_angle_gamma 90.00
loop_
_atom_site_label
_atom_site_fract_x
_atom_site_fract_y
_atom_site_fract_z
S1 0.500 0.500 0.500
Au1 0.000 0.000 0.500
Au2 0.500 0.000 0.000
Fe1 0.000 0.000 0.000
Cu1 0.000 0.500 0.000
```

Properties
DFT total energy ... -3.5610 eV per atom
Total magnetization ... 3.05 μB per formula unit
Raw formation energy ... 1087.2 meV/atom